{
  "formula": "RbFePO4",
  "functional": "GGA+U",
  "state": "optimized geometry",
  "space_group": "P2_1/m (11)",
  "final_energy_ev_per_atom": -6.5828,
  "cell": [[5.329, 0.000, -0.029], [0.000, 5.751, 0.000], [-2.126, 0.000, 7.020]],
  "species": ["O", "O", "O", "O", "Rb", "P", "P", "O", "O", "Rb", "O", "Fe", "O", "Fe"],
  "frac_coords": [[0.552, 0.250, 0.440], [0.060, 0.964, 0.331], [0.940, 0.464, 0.669], [0.587, 0.250, 0.788], [0.709, 0.750, 0.941], [0.747, 0.250, 0.643], [0.253, 0.750, 0.357], [0.060, 0.536, 0.331], [0.940, 0.036, 0.669], [0.291, 0.250, 0.059], [0.448, 0.750, 0.560], [0.800, 0.750, 0.477], [0.413, 0.750, 0.212], [0.200, 0.250, 0.523]]
}

{
  "formula": "RbFe2PO",
  "functional": "GGA+U",
  "state": "optimized geometry",
  "space_group": "P4/mmm (123)",
  "final_energy_ev_per_atom": -4.0136,
  "cell": [[4.365, 0.000, 0.000], [0.000, 4.365, 0.000], [0.000, 0.000, 5.415]],
  "species": ["Fe", "P", "Rb", "Fe", "O"],
  "frac_coords": [[0.000, 0.500, 0.000], [0.000, 0.000, 0.500], [0.500, 0.500, 0.500], [0.500, 0.000, 0.000], [0.000, 0.000, 0.000]]
}